Compound: Li2Ac5Tl5
Source: the Alexandria database
Functional: PBE
Structure: relaxed

Cell lengths 17.585, 5.165, 10.832 Å; angles 90.00, 127.77, 90.00 degrees
Space group C2/m (No. 12)
Unique sites:
Li 0.153 0.000 0.165 x4
Ac 0.000 0.500 0.000 x2
Ac 0.142 0.500 0.459 x4
Ac 0.152 0.500 0.831 x4
Tl 0.000 0.000 0.500 x2
Tl 0.008 0.000 0.805 x4
Tl 0.249 0.000 0.745 x4

## Properties
Its magnetization is 0.00 Bohr magnetons per cell. Its formation energy from the elements is -0.298 eV/atom.

Compound: LiAc4Tl
Source: the Alexandria database
Functional: PBE
Structure: relaxed

Cell lengths 5.563, 5.563, 8.145 Å; angles 90.00, 90.00, 90.00 degrees
Space group P4/mmm (No. 123)
Unique sites:
Li 0.000 0.000 0.000 x1
Ac 0.000 0.500 0.249 x4
Tl 0.500 0.500 0.500 x1

## Properties
Its magnetization is 0.00 Bohr magnetons per cell. Its formation energy from the elements is 0.145 eV/atom.

Compound: LiAc2Tl4
Source: the Alexandria database
Functional: PBE
Structure: relaxed

Cell lengths 5.593, 18.971, 4.873 Å; angles 90.00, 90.00, 90.00 degrees
Space group Cmmm (No. 65)
Unique sites:
Li 0.000 0.000 0.000 x2
Ac 0.000 0.326 0.500 x4
Tl 0.000 0.080 0.500 x4
Tl 0.000 0.193 0.000 x4

## Properties
Its magnetization is 0.00 Bohr magnetons per cell. Its formation energy from the elements is -0.066 eV/atom. The distance to the lowest polymorph of the same formula is 0.136 eV per atom.